No. 1
# CaOs2Cl (meta-GGA SCAN, single point on PBEsol structure)
# - M_tot (μB/f.u.) = 0.00
# - DOS at the Fermi energy (states/eV/atom) = 1.225
# - ΔE to the lowest computed polymorph (meV/atom) = 980
# - space-group type = Cmmm
data_CaOs2Cl
_chemical_formula_sum 'Ca1 Os2 Cl1'
_space_group_name_H-M_alt 'P 1'
_space_group_IT_number 1
_space_group_name_Hall 'P 1'
_cell_length_a 2.8504
_cell_length_b 2.8504
_cell_length_c 9.1358
_cell_angle_alpha 90.00
_cell_angle_beta 90.00
_cell_angle_gamma 118.99
loop_
_atom_site_label
_atom_site_type_symbol
_atom_site_fract_x
_atom_site_fract_y
_atom_site_fract_z
_atom_site_occupancy
Ca1 Ca 0.5000 0.5000 0.5000 1
Os1 Os 0.0000 0.0000 0.2310 1
Os2 Os 0.0000 0.0000 0.7690 1
Cl1 Cl 0.5000 0.5000 0.0000 1

No. 2
# CaOsSCl2 (meta-GGA SCAN, single point on PBEsol structure)
# - M_tot (μB/f.u.) = 4.37
# - DOS at the Fermi energy (states/eV/atom) = 0.575
# - E_tot (eV per atom) = -21.15
# - space-group type = P4/mmm
data_CaOsSCl2
_chemical_formula_sum 'Ca1 Os1 S1 Cl2'
_space_group_name_H-M_alt 'P 1'
_space_group_IT_number 1
_space_group_name_Hall 'P 1'
_cell_length_a 4.9493
_cell_length_b 4.9493
_cell_length_c 5.4595
_cell_angle_alpha 90.00
_cell_angle_beta 90.00
_cell_angle_gamma 90.00
loop_
_atom_site_label
_atom_site_type_symbol
_atom_site_fract_x
_atom_site_fract_y
_atom_site_fract_z
_atom_site_occupancy
Ca1 Ca 0.0000 0.0000 0.0000 1
Os1 Os 0.5000 0.5000 0.5000 1
S1 S 0.0000 0.0000 0.5000 1
Cl1 Cl 0.0000 0.5000 0.0000 1
Cl2 Cl 0.5000 0.0000 0.0000 1

No. 3
# Ca2TiOsCl (meta-GGA SCAN, single point on PBEsol structure)
# - M_tot (μB/f.u.) = 1.24
# - DOS at the Fermi energy (states/eV/atom) = 0.735
# - E_tot (eV per atom) = -22.70
# - space-group type = P4/mmm
data_Ca2TiOsCl
_chemical_formula_sum 'Ca2 Ti1 Os1 Cl1'
_space_group_name_H-M_alt 'P 1'
_space_group_IT_number 1
_space_group_name_Hall 'P 1'
_cell_length_a 4.4370
_cell_length_b 4.9374
_cell_length_c 4.9374
_cell_angle_alpha 90.00
_cell_angle_beta 90.00
_cell_angle_gamma 90.00
loop_
_atom_site_label
_atom_site_type_symbol
_atom_site_fract_x
_atom_site_fract_y
_atom_site_fract_z
_atom_site_occupancy
Ca1 Ca 0.0000 0.0000 0.5000 1
Ca2 Ca 0.0000 0.5000 0.0000 1
Cl1 Cl 0.0000 0.0000 0.0000 1
Os1 Os 0.5000 0.5000 0.5000 1
Ti1 Ti 0.5000 0.0000 0.0000 1

No. 4
# CaP2SCl (meta-GGA SCAN, single point on PBEsol structure)
# - M_tot (μB/f.u.) = 1.14
# - DOS at the Fermi energy (states/eV/atom) = 0.933
# - ΔE to the lowest computed polymorph (meV/atom) = 0
# - space-group type = P4/mmm
data_CaP2SCl
_chemical_formula_sum 'Ca1 P2 S1 Cl1'
_space_group_name_H-M_alt 'P 1'
_space_group_IT_number 1
_space_group_name_Hall 'P 1'
_cell_length_a 4.8443
_cell_length_b 5.3544
_cell_length_c 5.3544
_cell_angle_alpha 90.00
_cell_angle_beta 90.00
_cell_angle_gamma 90.00
loop_
_atom_site_label
_atom_site_type_symbol
_atom_site_fract_x
_atom_site_fract_y
_atom_site_fract_z
_atom_site_occupancy
P1 P 0.0000 0.0000 0.5000 1
P2 P 0.0000 0.5000 0.0000 1
Ca1 Ca 0.0000 0.0000 0.0000 1
S1 S 0.5000 0.5000 0.5000 1
Cl1 Cl 0.5000 0.0000 0.0000 1

No. 5
# CaP2SCl (meta-GGA SCAN, single point on PBEsol structure)
# - M_tot (μB/f.u.) = 1.14
# - DOS at the Fermi energy (states/eV/atom) = 0.709
# - ΔE to the lowest computed polymorph (meV/atom) = 169
# - space-group type = P4/mmm
data_CaP2SCl
_chemical_formula_sum 'Ca1 P2 S1 Cl1'
_space_group_name_H-M_alt 'P 1'
_space_group_IT_number 1
_space_group_name_Hall 'P 1'
_cell_length_a 4.9424
_cell_length_b 5.2772
_cell_length_c 5.2772
_cell_angle_alpha 90.00
_cell_angle_beta 90.00
_cell_angle_gamma 90.00
loop_
_atom_site_label
_atom_site_type_symbol
_atom_site_fract_x
_atom_site_fract_y
_atom_site_fract_z
_atom_site_occupancy
P1 P 0.0000 0.0000 0.5000 1
P2 P 0.0000 0.5000 0.0000 1
Ca1 Ca 0.0000 0.0000 0.0000 1
S1 S 0.5000 0.0000 0.0000 1
Cl1 Cl 0.5000 0.5000 0.5000 1

No. 6
# CaTcP2Cl (meta-GGA SCAN, single point on PBEsol structure)
# - M_tot (μB/f.u.) = 3.78
# - DOS at the Fermi energy (states/eV/atom) = 0.509
# - E_tot (eV per atom) = -13.79
# - space-group type = P4/mmm
data_CaTcP2Cl
_chemical_formula_sum 'Ca1 Tc1 P2 Cl1'
_space_group_name_H-M_alt 'P 1'
_space_group_IT_number 1
_space_group_name_Hall 'P 1'
_cell_length_a 4.8872
_cell_length_b 5.1489
_cell_length_c 5.1489
_cell_angle_alpha 90.00
_cell_angle_beta 90.00
_cell_angle_gamma 90.00
loop_
_atom_site_label
_atom_site_type_symbol
_atom_site_fract_x
_atom_site_fract_y
_atom_site_fract_z
_atom_site_occupancy
P1 P 0.0000 0.0000 0.5000 1
P2 P 0.0000 0.5000 0.0000 1
Ca1 Ca 0.0000 0.0000 0.0000 1
Tc1 Tc 0.5000 0.5000 0.5000 1
Cl1 Cl 0.5000 0.0000 0.0000 1

No. 7
# CaTiP2Cl (meta-GGA SCAN, single point on PBEsol structure)
# - M_tot (μB/f.u.) = 0.00
# - DOS at the Fermi energy (states/eV/atom) = 0.229
# - E_tot (eV per atom) = -11.87
# - space-group type = P4/mmm
data_CaTiP2Cl
_chemical_formula_sum 'Ca1 Ti1 P2 Cl1'
_space_group_name_H-M_alt 'P 1'
_space_group_IT_number 1
_space_group_name_Hall 'P 1'
_cell_length_a 4.6711
_cell_length_b 4.6711
_cell_length_c 4.8447
_cell_angle_alpha 90.00
_cell_angle_beta 90.00
_cell_angle_gamma 90.00
loop_
_atom_site_label
_atom_site_type_symbol
_atom_site_fract_x
_atom_site_fract_y
_atom_site_fract_z
_atom_site_occupancy
P1 P 0.0000 0.5000 0.0000 1
P2 P 0.5000 0.0000 0.0000 1
Ca1 Ca 0.5000 0.5000 0.5000 1
Cl1 Cl 0.0000 0.0000 0.5000 1
Ti1 Ti 0.0000 0.0000 0.0000 1

No. 8
# CaPWCl2 (meta-GGA SCAN, single point on PBEsol structure)
# - M_tot (μB/f.u.) = 3.00
# - DOS at the Fermi energy (states/eV/atom) = 0.733
# - E_tot (eV per atom) = -20.63
# - space-group type = P4/mmm
data_CaPWCl2
_chemical_formula_sum 'Ca1 P1 W1 Cl2'
_space_group_name_H-M_alt 'P 1'
_space_group_IT_number 1
_space_group_name_Hall 'P 1'
_cell_length_a 4.8241
_cell_length_b 4.8241
_cell_length_c 5.9711
_cell_angle_alpha 90.00
_cell_angle_beta 90.00
_cell_angle_gamma 90.00
loop_
_atom_site_label
_atom_site_type_symbol
_atom_site_fract_x
_atom_site_fract_y
_atom_site_fract_z
_atom_site_occupancy
P1 P 0.0000 0.0000 0.5000 1
Ca1 Ca 0.0000 0.0000 0.0000 1
W1 W 0.5000 0.5000 0.5000 1
Cl1 Cl 0.0000 0.5000 0.0000 1
Cl2 Cl 0.5000 0.0000 0.0000 1

No. 9
# CaPbCl2 (meta-GGA SCAN, single point on PBEsol structure)
# - M_tot (μB/f.u.) = 0.00
# - DOS at the Fermi energy (states/eV/atom) = 0.302
# - ΔE to the lowest computed polymorph (meV/atom) = 23
# - space-group type = Imm2
data_CaPbCl2
_chemical_formula_sum 'Ca1 Pb1 Cl2'
_space_group_name_H-M_alt 'P 1'
_space_group_IT_number 1
_space_group_name_Hall 'P 1'
_cell_length_a 3.5250
_cell_length_b 4.6530
_cell_length_c 6.8928
_cell_angle_alpha 109.73
_cell_angle_beta 104.82
_cell_angle_gamma 90.00
loop_
_atom_site_label
_atom_site_type_symbol
_atom_site_fract_x
_atom_site_fract_y
_atom_site_fract_z
_atom_site_occupancy
Pb1 Pb 0.5319 0.5319 0.0638 1
Ca1 Ca 0.2810 0.7810 0.5619 1
Cl1 Cl 0.9495 0.9495 0.8990 1
Cl2 Cl 0.7376 0.2376 0.4753 1

No. 10
# CaPbCl2 (meta-GGA SCAN, single point on PBEsol structure)
# - M_tot (μB/f.u.) = 0.00
# - DOS at the Fermi energy (states/eV/atom) = 0.219
# - ΔE to the lowest computed polymorph (meV/atom) = 0
# - space-group type = P4mm
data_CaPbCl2
_chemical_formula_sum 'Ca1 Pb1 Cl2'
_space_group_name_H-M_alt 'P 1'
_space_group_IT_number 1
_space_group_name_Hall 'P 1'
_cell_length_a 3.7983
_cell_length_b 3.7983
_cell_length_c 7.1716
_cell_angle_alpha 90.00
_cell_angle_beta 90.00
_cell_angle_gamma 90.00
loop_
_atom_site_label
_atom_site_type_symbol
_atom_site_fract_x
_atom_site_fract_y
_atom_site_fract_z
_atom_site_occupancy
Pb1 Pb 0.0000 0.0000 0.5029 1
Ca1 Ca 0.5000 0.5000 0.8541 1
Cl1 Cl 0.0000 0.0000 0.9228 1
Cl2 Cl 0.5000 0.5000 0.2202 1

No. 11
# Ca2PbCl (meta-GGA SCAN, single point on PBEsol structure)
# - M_tot (μB/f.u.) = 0.00
# - DOS at the Fermi energy (states/eV/atom) = 0.207
# - ΔE to the lowest computed polymorph (meV/atom) = 39
# - space-group type = P2/m
data_Ca2PbCl
_chemical_formula_sum 'Ca2 Pb1 Cl1'
_space_group_name_H-M_alt 'P 1'
_space_group_IT_number 1
_space_group_name_Hall 'P 1'
_cell_length_a 3.6486
_cell_length_b 4.1889
_cell_length_c 7.8497
_cell_angle_alpha 90.15
_cell_angle_beta 90.00
_cell_angle_gamma 90.00
loop_
_atom_site_label
_atom_site_type_symbol
_atom_site_fract_x
_atom_site_fract_y
_atom_site_fract_z
_atom_site_occupancy
Pb1 Pb 0.5000 0.5000 0.0000 1
Ca1 Ca 0.0000 0.9985 0.7749 1
Ca2 Ca 0.0000 0.0015 0.2251 1
Cl1 Cl 0.5000 0.0000 0.5000 1

No. 12
# Ca2PbCl (meta-GGA SCAN, single point on PBEsol structure)
# - M_tot (μB/f.u.) = 0.00
# - DOS at the Fermi energy (states/eV/atom) = 0.345
# - ΔE to the lowest computed polymorph (meV/atom) = 0
# - space-group type = P-4m2
data_Ca2PbCl
_chemical_formula_sum 'Ca2 Pb1 Cl1'
_space_group_name_H-M_alt 'P 1'
_space_group_IT_number 1
_space_group_name_Hall 'P 1'
_cell_length_a 3.6695
_cell_length_b 5.5299
_cell_length_c 5.5299
_cell_angle_alpha 90.00
_cell_angle_beta 90.00
_cell_angle_gamma 90.00
loop_
_atom_site_label
_atom_site_type_symbol
_atom_site_fract_x
_atom_site_fract_y
_atom_site_fract_z
_atom_site_occupancy
Pb1 Pb 0.5000 0.0000 0.0000 1
Ca1 Ca 0.9979 0.5000 0.0000 1
Ca2 Ca 0.0021 0.0000 0.5000 1
Cl1 Cl 0.0000 0.5000 0.5000 1